No. 1
Density functional theory data (PBE) for crystalline Mg2ScInIr at its relaxed geometry.

## Properties
Calculated formation energy = 8.013 eV/f.u.
Final energy = -2.62 eV per atom
V = 28.6 Å³/atom

abc: 5.219 5.240 5.219
angles: 90.00 90.00 90.00
Element x y z (fractional)
Ir 0.500 0.500 0.500
Mg 0.000 0.000 0.500
Mg 0.500 0.000 0.000
Sc 0.000 0.000 0.000
In 0.000 0.500 0.000

No. 2
Density functional theory data (PBE) for crystalline MgIn2Si2Ir5 at its relaxed geometry.

## Properties
Uncorrected formation energy = -0.251 eV/atom
Final energy = -6.47 eV per atom
V = 15.9 Å³/atom

abc: 3.471 9.585 9.585
angles: 90.00 90.00 90.00
Element x y z (fractional)
Si 0.000 0.629 0.871
Ir 0.500 0.423 0.293
Ir 0.500 0.577 0.707
Si 0.000 0.871 0.371
Mg 0.000 0.500 0.500
In 0.000 0.327 0.827
In 0.000 0.173 0.327
Ir 0.500 0.707 0.423
Mg 0.000 0.000 0.000
Ir 0.500 0.000 0.500
Si 0.000 0.371 0.129
Ir 0.500 0.077 0.793
In 0.000 0.827 0.673
Ir 0.500 0.923 0.207
Si 0.000 0.129 0.629
Ir 0.500 0.207 0.077
Ir 0.500 0.293 0.577
In 0.000 0.673 0.173
Ir 0.500 0.500 0.000
Ir 0.500 0.793 0.923

No. 3
Density functional theory data (PBE) for crystalline Mg2InSi2Ir5 at its relaxed geometry.

## Properties
Uncorrected formation energy = -0.475 eV/atom
Final energy = -6.58 eV per atom
V = 15.9 Å³/atom

abc: 3.448 9.592 9.592
angles: 90.00 90.00 90.00
Element x y z (fractional)
Ir 0.500 0.288 0.573
Mg 0.000 0.672 0.172
Si 0.000 0.127 0.627
In 0.000 0.000 0.000
Si 0.000 0.373 0.127
Mg 0.000 0.828 0.672
Mg 0.000 0.328 0.828
Ir 0.500 0.573 0.712
Si 0.000 0.873 0.373
Si 0.000 0.627 0.873
Ir 0.500 0.427 0.288
Ir 0.500 0.500 0.000
Ir 0.500 0.212 0.073
Ir 0.500 0.000 0.500
Ir 0.500 0.712 0.427
Mg 0.000 0.172 0.328
Ir 0.500 0.073 0.788
In 0.000 0.500 0.500
Ir 0.500 0.927 0.212
Ir 0.500 0.788 0.927

No. 4
Density functional theory data (PBE) for crystalline Mg2InSnIr at its relaxed geometry.

## Properties
Calculated formation energy = -0.519 eV/f.u.
Final energy = -3.86 eV per atom
V = 26.2 Å³/atom

abc: 5.103 5.103 5.039
angles: 90.00 90.00 90.00
Element x y z (fractional)
Ir 0.000 0.000 0.000
Mg 0.500 0.000 0.000
In 0.500 0.500 0.500
Sn 0.000 0.000 0.500
Mg 0.000 0.500 0.000